A | Compound: Li3MnAl
Source: Alexandria via LeMat-Bulk
Functional: PBE
Structure: optimized geometry

Computed properties:
- volume (Å³/f.u.) = 106
- spin magnetization (μB/f.u.) = 4.203
- symmetry = No. 221

abc: 4.7256 4.7256 4.7256
angles: 90.00 90.00 90.00
Atoms (fractional coordinates):
Li 0.5000 0.0000 0.0000
Li 0.0000 0.5000 0.0000
Li 0.0000 0.0000 0.5000
Al 0.5000 0.5000 0.5000
Mn 0.0000 0.0000 0.0000

B | Compound: Li3MnAl
Source: Alexandria via LeMat-Bulk
Functional: PBE
Structure: optimized geometry

Computed properties:
- volume (Å³/f.u.) = 102
- spin magnetization (μB/f.u.) = 0.594
- symmetry = No. 221

abc: 4.6755 4.6755 4.6755
angles: 90.00 90.00 90.00
Atoms (fractional coordinates):
Li 0.0000 0.0000 0.5000
Li 0.5000 0.0000 0.0000
Li 0.0000 0.5000 0.0000
Al 0.0000 0.0000 0.0000
Mn 0.5000 0.5000 0.5000

Least stable structure: B

A | Compound: LiMnAl3
Source: Alexandria via LeMat-Bulk
Functional: PBE
Structure: optimized geometry

Computed properties:
- volume (Å³/f.u.) = 71
- spin magnetization (μB/f.u.) = 2.375
- symmetry = No. 11

abc: 4.3689 4.3214 7.8461
angles: 90.00 73.95 90.00
Atoms (fractional coordinates):
Al 0.7662 0.3444 0.1860
Al 0.6447 0.8444 0.4286
Al 0.2594 0.8444 0.1999
Al 0.9546 0.3444 0.8082
Al 0.4566 0.8444 0.8064
Al 0.1517 0.3444 0.4147
Mn 0.0583 0.8444 0.6020
Mn 0.3525 0.3444 0.0126
Li 0.8620 0.8444 0.9959
Li 0.5495 0.3445 0.6186

B | Compound: LiMnAl3
Source: Alexandria via LeMat-Bulk
Functional: PBE
Structure: optimized geometry

Computed properties:
- volume (Å³/f.u.) = 95
- spin magnetization (μB/f.u.) = 0.000
- symmetry = No. 221

abc: 4.5631 4.5631 4.5631
angles: 90.00 90.00 90.00
Atoms (fractional coordinates):
Al 0.0000 0.0000 0.5000
Al 0.0000 0.5000 0.0000
Al 0.5000 0.0000 0.0000
Mn 0.0000 0.0000 0.0000
Li 0.5000 0.5000 0.5000

Least stable structure: B

A | Compound: LiAlMo
Source: Alexandria via LeMat-Bulk
Functional: PBE
Structure: optimized geometry

Computed properties:
- volume (Å³/f.u.) = 47
- spin magnetization (μB/f.u.) = 0.000
- symmetry = No. 42

abc: 7.0111 6.9098 2.6638
angles: 81.11 76.84 22.05
Atoms (fractional coordinates):
Al 0.9977 0.9977 0.0023
Mo 0.3389 0.3389 0.6611
Li 0.6634 0.6634 0.3366

B | Compound: LiAlMo
Source: Alexandria via LeMat-Bulk
Functional: PBE
Structure: optimized geometry

Computed properties:
- volume (Å³/f.u.) = 44
- spin magnetization (μB/f.u.) = 0.001
- symmetry = No. 156

abc: 4.3961 4.3961 2.6304
angles: 90.00 90.00 120.00
Atoms (fractional coordinates):
Mo 0.6667 0.3333 0.6613
Al 0.0000 0.0000 0.1295
Li 0.3333 0.6667 0.2092

Least stable structure: B

A | Compound: LiAl2Mo2
Source: Alexandria via LeMat-Bulk
Functional: PBE
Structure: optimized geometry

Computed properties:
- volume (Å³/f.u.) = 86
- spin magnetization (μB/f.u.) = 0.000
- symmetry = No. 127

abc: 7.9318 7.9318 2.7373
angles: 90.00 90.00 90.00
Atoms (fractional coordinates):
Al 0.1818 0.6818 0.5000
Al 0.3182 0.1818 0.5000
Al 0.6818 0.8182 0.5000
Al 0.8182 0.3182 0.5000
Mo 0.1121 0.3879 0.0000
Mo 0.8879 0.6121 0.0000
Mo 0.6121 0.1121 0.0000
Mo 0.3879 0.8879 0.0000
Li 0.0000 0.0000 0.0000
Li 0.5000 0.5000 0.0000

B | Compound: LiAl2Mo2
Source: Alexandria via LeMat-Bulk
Functional: PBE
Structure: optimized geometry

Computed properties:
- volume (Å³/f.u.) = 78
- spin magnetization (μB/f.u.) = 0.000
- symmetry = No. 127

abc: 6.7316 6.7316 3.4440
angles: 90.00 90.00 90.00
Atoms (fractional coordinates):
Mo 0.1639 0.6639 0.5000
Mo 0.3361 0.1639 0.5000
Mo 0.8361 0.3361 0.5000
Mo 0.6639 0.8361 0.5000
Li 0.5000 0.5000 0.0000
Li 0.0000 0.0000 0.0000
Al 0.6342 0.1342 0.0000
Al 0.3658 0.8658 0.0000
Al 0.8658 0.6342 0.0000
Al 0.1342 0.3658 0.0000

Least stable structure: B

A | Compound: Li2Al2Mo
Source: Alexandria via LeMat-Bulk
Functional: PBE
Structure: optimized geometry

Computed properties:
- volume (Å³/f.u.) = 78
- spin magnetization (μB/f.u.) = 0.679
- symmetry = No. 139

abc: 3.4567 3.4567 6.9595
angles: 75.62 75.62 90.00
Atoms (fractional coordinates):
Mo 0.0000 0.0000 0.0000
Al 0.4054 0.4054 0.1892
Al 0.5946 0.5946 0.8108
Li 0.2500 0.7500 0.5000
Li 0.7500 0.2500 0.5000

B | Compound: Li2Al2Mo
Source: Alexandria via LeMat-Bulk
Functional: PBE
Structure: optimized geometry

Computed properties:
- volume (Å³/f.u.) = 72
- spin magnetization (μB/f.u.) = 0.000
- symmetry = No. 127

abc: 7.2343 7.2343 2.7548
angles: 90.00 90.00 90.00
Atoms (fractional coordinates):
Li 0.8426 0.3426 0.5000
Li 0.3426 0.1574 0.5000
Li 0.1574 0.6574 0.5000
Li 0.6574 0.8426 0.5000
Al 0.6421 0.1421 0.0000
Al 0.8579 0.6421 0.0000
Al 0.3579 0.8579 0.0000
Al 0.1421 0.3579 0.0000
Mo 0.5000 0.5000 0.0000
Mo 0.0000 0.0000 0.0000

Least stable structure: A

A | Compound: LiAl2N
Source: Alexandria via LeMat-Bulk
Functional: PBE
Structure: optimized geometry

Computed properties:
- volume (Å³/f.u.) = 62
- spin magnetization (μB/f.u.) = 0.000
- symmetry = No. 122

abc: 5.6256 5.6256 5.5670
angles: 59.65 59.65 90.00
Atoms (fractional coordinates):
N 0.7500 0.2500 0.5000
N 0.0000 0.0000 0.0000
Li 0.2500 0.7500 0.5000
Li 0.5000 0.5000 0.0000
Al 0.8750 0.9728 0.7500
Al 0.7228 0.1250 0.2500
Al 0.0272 0.6250 0.2500
Al 0.3750 0.2772 0.7500

B | Compound: LiAl2N
Source: Alexandria via LeMat-Bulk
Functional: PBE
Structure: optimized geometry

Computed properties:
- volume (Å³/f.u.) = 55
- spin magnetization (μB/f.u.) = 0.059
- symmetry = No. 225

abc: 4.2672 4.2672 4.2672
angles: 60.00 60.00 60.00
Atoms (fractional coordinates):
Li 0.0000 0.0000 0.0000
N 0.5000 0.5000 0.5000
Al 0.2500 0.2500 0.2500
Al 0.7500 0.7500 0.7500

Least stable structure: B

A | Compound: Li2AlN
Source: Alexandria via LeMat-Bulk
Functional: PBE
Structure: optimized geometry

Computed properties:
- volume (Å³/f.u.) = 65
- spin magnetization (μB/f.u.) = 0.000
- symmetry = No. 141

abc: 4.9061 4.9061 6.4168
angles: 67.52 67.52 90.00
Atoms (fractional coordinates):
Li 0.3751 0.1250 0.2500
Li 0.3750 0.6249 0.7500
Li 0.8750 0.6251 0.7500
Li 0.3749 0.6250 0.2500
N 0.2500 0.7500 0.5000
N 0.5000 0.5000 0.0000
Al 0.7500 0.2500 0.5000
Al 0.0000 0.0000 0.0000

B | Compound: Li2AlN
Source: Alexandria via LeMat-Bulk
Functional: PBE
Structure: optimized geometry

Computed properties:
- volume (Å³/f.u.) = 48
- spin magnetization (μB/f.u.) = 0.000
- symmetry = No. 225

abc: 4.0697 4.0697 4.0697
angles: 60.00 60.00 60.00
Atoms (fractional coordinates):
Li 0.7500 0.7500 0.7500
Li 0.2500 0.2500 0.2500
N 0.0000 0.0000 0.0000
Al 0.5000 0.5000 0.5000

Least stable structure: B

A | Compound: LiAlSN2
Source: Alexandria via LeMat-Bulk
Functional: PBE
Structure: optimized geometry

Computed properties:
- volume (Å³/f.u.) = 62
- spin magnetization (μB/f.u.) = 1.857
- symmetry = No. 123

abc: 3.5442 3.5442 4.9541
angles: 90.00 90.00 90.00
Atoms (fractional coordinates):
Al 0.5000 0.5000 0.5000
N 0.5000 0.0000 0.0000
N 0.0000 0.5000 0.0000
S 0.0000 0.0000 0.5000
Li 0.0000 0.0000 0.0000

B | Compound: LiAlSN2
Source: Alexandria via LeMat-Bulk
Functional: PBE
Structure: optimized geometry

Computed properties:
- volume (Å³/f.u.) = 71
- spin magnetization (μB/f.u.) = 2.005
- symmetry = No. 123

abc: 3.7396 3.7396 5.0427
angles: 90.00 90.00 90.00
Atoms (fractional coordinates):
N 0.0000 0.5000 0.0000
N 0.5000 0.0000 0.0000
S 0.0000 0.0000 0.5000
Al 0.0000 0.0000 0.0000
Li 0.5000 0.5000 0.5000

Least stable structure: A

A | Compound: LiAlTeN2
Source: Alexandria via LeMat-Bulk
Functional: PBE
Structure: optimized geometry

Computed properties:
- volume (Å³/f.u.) = 84
- spin magnetization (μB/f.u.) = 1.138
- symmetry = No. 123

abc: 3.7684 3.7684 5.9212
angles: 90.00 90.00 90.00
Atoms (fractional coordinates):
Te 0.0000 0.0000 0.5000
Al 0.0000 0.0000 0.0000
Li 0.5000 0.5000 0.5000
N 0.0000 0.5000 0.0000
N 0.5000 0.0000 0.0000

B | Compound: LiAlTeN2
Source: Alexandria via LeMat-Bulk
Functional: PBE
Structure: optimized geometry

Computed properties:
- volume (Å³/f.u.) = 75
- spin magnetization (μB/f.u.) = 0.770
- symmetry = No. 123

abc: 3.8605 3.8605 5.0183
angles: 90.00 90.00 90.00
Atoms (fractional coordinates):
Al 0.5000 0.5000 0.5000
N 0.0000 0.5000 0.0000
N 0.5000 0.0000 0.0000
Li 0.0000 0.0000 0.0000
Te 0.0000 0.0000 0.5000

Least stable structure: B

A | Compound: Na2Li2Al
Source: Alexandria via LeMat-Bulk
Functional: PBE
Structure: optimized geometry

Computed properties:
- volume (Å³/f.u.) = 116
- spin magnetization (μB/f.u.) = 0.000
- symmetry = No. 127

abc: 8.4530 8.4530 3.2559
angles: 90.00 90.00 90.00
Atoms (fractional coordinates):
Na 0.3643 0.8643 0.0000
Na 0.8643 0.6357 0.0000
Na 0.6357 0.1357 0.0000
Na 0.1357 0.3643 0.0000
Li 0.1684 0.6684 0.5000
Li 0.6684 0.8316 0.5000
Li 0.8316 0.3316 0.5000
Li 0.3316 0.1684 0.5000
Al 0.0000 0.0000 0.0000
Al 0.5000 0.5000 0.0000

B | Compound: Na2Li2Al
Source: Alexandria via LeMat-Bulk
Functional: PBE
Structure: optimized geometry

Computed properties:
- volume (Å³/f.u.) = 131
- spin magnetization (μB/f.u.) = 0.000
- symmetry = No. 139

abc: 3.7396 3.7396 9.7518
angles: 78.95 78.95 90.00
Atoms (fractional coordinates):
Li 0.2500 0.7500 0.5000
Li 0.7500 0.2500 0.5000
Na 0.3983 0.3983 0.2034
Na 0.6017 0.6017 0.7966
Al 0.0000 0.0000 0.0000

Least stable structure: B

A | Compound: Na2LiAlP2
Source: Alexandria via LeMat-Bulk
Functional: PBE
Structure: optimized geometry

Computed properties:
- volume (Å³/f.u.) = 116
- spin magnetization (μB/f.u.) = 0.000
- symmetry = No. 72

abc: 5.8028 5.9220 7.9203
angles: 111.95 111.49 90.00
Atoms (fractional coordinates):
Al 0.5000 0.7500 0.0000
Al 0.5000 0.2500 0.0000
Na 0.9504 0.6789 0.3579
Na 0.4075 0.1789 0.3579
Na 0.0496 0.3211 0.6421
Na 0.5925 0.8211 0.6421
P 0.3765 0.6026 0.2051
P 0.8286 0.1026 0.2051
P 0.1714 0.8974 0.7949
P 0.6235 0.3974 0.7949
Li 0.0000 0.2500 0.0000
Li 0.0000 0.7500 0.0000

B | Compound: Na2LiAlP2
Source: Alexandria via LeMat-Bulk
Functional: PBE
Structure: optimized geometry

Computed properties:
- volume (Å³/f.u.) = 115
- spin magnetization (μB/f.u.) = 0.000
- symmetry = No. 64

abc: 8.9570 8.9570 5.7961
angles: 90.00 90.00 99.29
Atoms (fractional coordinates):
Na 0.0685 0.4315 0.2500
Na 0.6782 0.3218 0.2138
Na 0.9315 0.5685 0.7500
Na 0.4315 0.0685 0.7500
Na 0.3218 0.6782 0.7862
Na 0.5685 0.9315 0.2500
Na 0.1782 0.8218 0.2862
Na 0.8218 0.1782 0.7138
Li 0.3813 0.3813 0.0000
Li 0.8813 0.8813 0.5000
Li 0.6187 0.6187 0.0000
Li 0.1187 0.1187 0.5000
P 0.8514 0.6486 0.2500
P 0.3514 0.1486 0.2500
P 0.6486 0.8514 0.7500
P 0.8958 0.1042 0.2136
P 0.6042 0.3958 0.7136
P 0.1486 0.3514 0.7500
P 0.3958 0.6042 0.2864
P 0.1042 0.8958 0.7864
Al 0.8703 0.8703 0.0000
Al 0.1297 0.1297 0.0000
Al 0.6297 0.6297 0.5000
Al 0.3703 0.3703 0.5000

Least stable structure: A

A | Compound: LiNb2Al2
Source: Alexandria via LeMat-Bulk
Functional: PBE
Structure: optimized geometry

Computed properties:
- volume (Å³/f.u.) = 85
- spin magnetization (μB/f.u.) = 0.000
- symmetry = No. 127

abc: 6.6378 6.6378 3.8596
angles: 90.00 90.00 90.00
Atoms (fractional coordinates):
Nb 0.6683 0.8317 0.5000
Nb 0.3317 0.1683 0.5000
Nb 0.8317 0.3317 0.5000
Nb 0.1683 0.6683 0.5000
Li 0.5000 0.5000 0.0000
Li 0.0000 0.0000 0.0000
Al 0.1342 0.3658 0.0000
Al 0.6342 0.1342 0.0000
Al 0.8658 0.6342 0.0000
Al 0.3658 0.8658 0.0000

B | Compound: LiNb2Al2
Source: Alexandria via LeMat-Bulk
Functional: PBE
Structure: optimized geometry

Computed properties:
- volume (Å³/f.u.) = 95
- spin magnetization (μB/f.u.) = 0.000
- symmetry = No. 127

abc: 8.2290 8.2290 2.8093
angles: 90.00 90.00 90.00
Atoms (fractional coordinates):
Al 0.8208 0.3208 0.5000
Al 0.3208 0.1792 0.5000
Al 0.1792 0.6792 0.5000
Al 0.6792 0.8208 0.5000
Li 0.5000 0.5000 0.0000
Li 0.0000 0.0000 0.0000
Nb 0.1152 0.3848 0.0000
Nb 0.8848 0.6152 0.0000
Nb 0.3848 0.8848 0.0000
Nb 0.6152 0.1152 0.0000

Least stable structure: A